[1]
{"formula": "TmNiBO4", "functional": "PBE with a Hubbard U", "state": "optimized geometry", "magmom_total_mub_per_fu": 2.0, "dft_energy_ev_per_atom": -6.914, "dos_ef_per_ev_atom": 0.00, "lattice": [[-2.166, 3.233, -4.139], [-3.645, -2.327, -3.809], [-5.507, 1.673, 0.290]], "species": ["Tm", "Tm", "Ni", "Ni", "B", "B", "O", "O", "O", "O", "O", "O", "O", "O"], "fractional_positions": [[0.000, 0.000, 0.000], [0.000, 0.500, 0.500], [0.500, 0.000, 0.500], [0.000, 0.000, 0.500], [0.616, 0.634, 0.134], [0.384, 0.366, 0.866], [0.728, 0.736, 0.809], [0.272, 0.691, 0.764], [0.728, 0.309, 0.236], [0.272, 0.264, 0.191], [0.287, 0.744, 0.244], [0.725, 0.744, 0.244], [0.275, 0.256, 0.756], [0.713, 0.256, 0.756]]}

---

[2]
{"formula": "TmNi2B2O6", "functional": "PBE with a Hubbard U", "state": "optimized geometry", "magmom_total_mub_per_fu": 3.0, "dft_energy_ev_per_atom": -6.806, "dos_ef_per_ev_atom": 0.55, "lattice": [[5.044, 0.000, 0.000], [-2.522, 4.368, 0.000], [0.000, 0.000, 5.878]], "species": ["Tm", "Ni", "Ni", "B", "B", "O", "O", "O", "O", "O", "O"], "fractional_positions": [[0.000, 0.000, 0.000], [0.333, 0.667, 0.324], [0.667, 0.333, 0.676], [0.333, 0.667, 0.770], [0.667, 0.333, 0.230], [0.319, 0.385, 0.772], [0.066, 0.681, 0.772], [0.615, 0.934, 0.772], [0.681, 0.615, 0.228], [0.934, 0.319, 0.228], [0.385, 0.066, 0.228]]}

---

[3]
{"formula": "UNi7B4O16", "functional": "PBE with a Hubbard U", "state": "optimized geometry", "magmom_total_mub_per_fu": 14.0, "dft_energy_ev_per_atom": -6.664, "lattice": [[-4.509, -0.089, 0.716], [0.865, -2.806, 5.103], [1.186, 18.021, 9.709]], "species": ["U", "U", "Ni", "Ni", "Ni", "Ni", "Ni", "Ni", "Ni", "Ni", "Ni", "Ni", "Ni", "Ni", "Ni", "Ni", "B", "B", "B", "B", "B", "B", "B", "B", "O", "O", "O", "O", "O", "O", "O", "O", "O", "O", "O", "O", "O", "O", "O", "O", "O", "O", "O", "O", "O", "O", "O", "O", "O", "O", "O", "O", "O", "O", "O", "O"], "fractional_positions": [[0.000, 0.000, 0.000], [0.500, 0.500, 0.500], [0.980, 0.251, 0.370], [0.520, 0.751, 0.870], [0.480, 0.249, 0.130], [0.521, 0.000, 0.736], [0.479, 0.000, 0.264], [0.979, 0.500, 0.236], [0.020, 0.749, 0.630], [0.500, 0.500, 0.000], [0.021, 0.500, 0.764], [0.480, 0.751, 0.130], [0.520, 0.249, 0.870], [0.980, 0.749, 0.370], [0.020, 0.251, 0.630], [0.000, 0.000, 0.500], [0.918, 0.500, 0.089], [0.418, 0.000, 0.411], [0.522, 0.500, 0.306], [0.022, 0.000, 0.194], [0.082, 0.500, 0.911], [0.978, 0.000, 0.806], [0.478, 0.500, 0.694], [0.582, 0.000, 0.589], [0.260, 0.000, 0.348], [0.270, 0.000, 0.824], [0.817, 0.801, 0.795], [0.272, 0.000, 0.589], [0.730, 0.000, 0.176], [0.317, 0.301, 0.705], [0.719, 0.000, 0.930], [0.183, 0.801, 0.205], [0.770, 0.500, 0.676], [0.715, 0.208, 0.551], [0.728, 0.000, 0.411], [0.781, 0.500, 0.430], [0.285, 0.208, 0.449], [0.715, 0.792, 0.551], [0.219, 0.500, 0.570], [0.281, 0.000, 0.070], [0.683, 0.699, 0.295], [0.215, 0.292, 0.949], [0.230, 0.500, 0.324], [0.740, 0.000, 0.652], [0.760, 0.500, 0.152], [0.683, 0.301, 0.295], [0.317, 0.699, 0.705], [0.817, 0.199, 0.795], [0.240, 0.500, 0.848], [0.785, 0.708, 0.051], [0.215, 0.708, 0.949], [0.772, 0.500, 0.911], [0.183, 0.199, 0.205], [0.785, 0.292, 0.051], [0.285, 0.792, 0.449], [0.228, 0.500, 0.089]]}

---

[4]
{"formula": "YNiBO2", "functional": "PBE with a Hubbard U", "state": "optimized geometry", "magmom_total_mub_per_fu": 1.0, "dft_energy_ev_per_atom": -4.853, "dos_ef_per_ev_atom": 1.11, "lattice": [[-4.092, -0.784, 0.430], [0.714, -5.195, -2.674], [0.735, -1.807, 3.707]], "species": ["Y", "Ni", "B", "O", "O"], "fractional_positions": [[0.000, 0.000, 0.000], [0.000, 0.500, 0.000], [0.500, 0.500, 0.500], [0.000, 0.000, 0.500], [0.500, 0.000, 0.000]]}

---

[5]
{"formula": "ZnNiBO4", "functional": "PBE with a Hubbard U", "state": "optimized geometry", "magmom_total_mub_per_fu": 2.3, "dft_energy_ev_per_atom": -5.796, "dos_ef_per_ev_atom": 0.37, "lattice": [[4.894, -0.121, 0.000], [-2.077, 4.433, 0.000], [0.000, 0.000, 5.971]], "species": ["Zn", "Zn", "Ni", "Ni", "B", "B", "O", "O", "O", "O", "O", "O", "O", "O"], "fractional_positions": [[0.836, 0.164, 0.250], [0.164, 0.836, 0.750], [0.500, 0.500, 0.500], [0.500, 0.500, 0.000], [0.149, 0.851, 0.250], [0.851, 0.149, 0.750], [0.195, 0.270, 0.750], [0.730, 0.805, 0.750], [0.748, 0.252, 0.950], [0.748, 0.252, 0.550], [0.252, 0.748, 0.050], [0.252, 0.748, 0.450], [0.805, 0.730, 0.250], [0.270, 0.195, 0.250]]}

---

[6]
{"formula": "ZnNi3B4O10", "functional": "PBE with a Hubbard U", "state": "optimized geometry", "magmom_total_mub_per_fu": 5.9, "dft_energy_ev_per_atom": -6.608, "dos_ef_per_ev_atom": 0.00, "lattice": [[3.145, 0.011, -0.006], [-0.230, 6.223, -0.008], [-0.123, -2.306, 8.956]], "species": ["Zn", "Ni", "Ni", "Ni", "B", "B", "B", "B", "O", "O", "O", "O", "O", "O", "O", "O", "O", "O"], "fractional_positions": [[0.281, 0.782, 0.641], [0.756, 0.623, 0.897], [0.239, 0.378, 0.103], [0.731, 0.208, 0.350], [0.301, 0.317, 0.642], [0.706, 0.682, 0.356], [0.656, 0.122, 0.834], [0.335, 0.879, 0.168], [0.252, 0.522, 0.741], [0.747, 0.476, 0.259], [0.238, 0.277, 0.493], [0.781, 0.728, 0.505], [0.438, 0.142, 0.702], [0.564, 0.858, 0.298], [0.757, 0.909, 0.827], [0.230, 0.094, 0.181], [0.736, 0.309, 0.949], [0.254, 0.695, 0.053]]}

---

Number 3 is which compound? UNi7B4O16

---

What did the fifth record say?
{"formula": "ZnNiBO4", "functional": "PBE with a Hubbard U", "state": "optimized geometry", "magmom_total_mub_per_fu": 2.3, "dft_energy_ev_per_atom": -5.796, "dos_ef_per_ev_atom": 0.37, "lattice": [[4.894, -0.121, 0.000], [-2.077, 4.433, 0.000], [0.000, 0.000, 5.971]], "species": ["Zn", "Zn", "Ni", "Ni", "B", "B", "O", "O", "O", "O", "O", "O", "O", "O"], "fractional_positions": [[0.836, 0.164, 0.250], [0.164, 0.836, 0.750], [0.500, 0.500, 0.500], [0.500, 0.500, 0.000], [0.149, 0.851, 0.250], [0.851, 0.149, 0.750], [0.195, 0.270, 0.750], [0.730, 0.805, 0.750], [0.748, 0.252, 0.950], [0.748, 0.252, 0.550], [0.252, 0.748, 0.050], [0.252, 0.748, 0.450], [0.805, 0.730, 0.250], [0.270, 0.195, 0.250]]}